The following is a DFT calculation (GGA-PBE) of a relaxed structure of Fe3CI.

Cell: 4.6791 4.6791 4.6791 Å, 90.00 90.00 90.00°
Positions (direct):
Fe  0.0000  0.0000  0.5000
Fe  0.5000  0.0000  0.0000
Fe  0.0000  0.5000  0.0000
I  0.0000  0.0000  0.0000
C  0.5000  0.5000  0.5000

E ... -4.5255 eV/atom
Formation energy (no corrections) ... 2707 meV/atom
Size of the total moment ... 5.354 μB per formula unit